1.
# Cr2PbSe, optimized geometry, DFT GGA-PBE
data_Cr2PbSe
_chemical_formula_sum 'Cr2 Pb1 Se1'
_cell_length_a 3.3115
_cell_length_b 3.2999
_cell_length_c 7.4284
_cell_angle_alpha 90.00
_cell_angle_beta 90.41
_cell_angle_gamma 90.00
_space_group_name_H-M_alt 'P 1'
_space_group_IT_number 1
loop_
_space_group_symop_operation_xyz
'x,y,z'
loop_
_atom_site_label
_atom_site_fract_x
_atom_site_fract_y
_atom_site_fract_z
Cr1 0.0028 0.0000 0.2066
Cr2 0.9972 0.0000 0.7934
Pb1 0.5000 0.5000 0.5000
Se1 0.5000 0.5000 0.0000
# Polymorph energy (0 for the lowest one) in eV per formula unit: 0.802
# M_tot in μB/f.u.: 8.0

***

2.
# CrPbSe2, optimized geometry, DFT GGA-PBE
data_CrPbSe2
_chemical_formula_sum 'Cr1 Pb1 Se2'
_cell_length_a 6.6227
_cell_length_b 6.6227
_cell_length_c 6.6227
_cell_angle_alpha 144.31
_cell_angle_beta 144.31
_cell_angle_gamma 51.36
_space_group_name_H-M_alt 'P 1'
_space_group_IT_number 1
loop_
_space_group_symop_operation_xyz
'x,y,z'
loop_
_atom_site_label
_atom_site_fract_x
_atom_site_fract_y
_atom_site_fract_z
Cr1 0.0000 0.0000 0.0000
Pb1 0.2500 0.7500 0.5000
Se1 0.5000 0.5000 0.0000
Se2 0.7500 0.2500 0.5000
# M_tot in μB/f.u.: 4.1
# E in eV/cell: -19.94

***

3.
# Tl3CrPb2Se6, optimized geometry, DFT GGA-PBE
data_Tl3CrPb2Se6
_chemical_formula_sum 'Tl3 Cr1 Pb2 Se6'
_cell_length_a 7.3019
_cell_length_b 7.3019
_cell_length_c 7.6338
_cell_angle_alpha 99.59
_cell_angle_beta 99.59
_cell_angle_gamma 119.92
_space_group_name_H-M_alt 'P 1'
_space_group_IT_number 1
loop_
_space_group_symop_operation_xyz
'x,y,z'
loop_
_atom_site_label
_atom_site_fract_x
_atom_site_fract_y
_atom_site_fract_z
Tl1 0.0000 0.0000 0.0000
Tl2 0.3260 0.6740 0.0000
Tl3 0.6740 0.3260 0.0000
Cr1 0.5000 0.5000 0.5000
Pb1 0.1648 0.8352 0.5000
Pb2 0.8352 0.1648 0.5000
Se1 0.1448 0.4289 0.2957
Se2 0.2865 0.2865 0.7129
Se3 0.4289 0.1448 0.2957
Se4 0.5711 0.8552 0.7043
Se5 0.7135 0.7135 0.2871
Se6 0.8552 0.5711 0.7043
# M_tot in μB/f.u.: 1.7
# E in eV/cell: -50.09